1.
# AlIN2F PBEsol relaxed
data_AlIN2F
_symmetry_space_group_name_H-M 'P 4/m m m'
_symmetry_Int_Tables_number 123
_symmetry_space_group_name_Hall '-P 4 2'
_cell_length_a 4.689
_cell_length_b 4.689
_cell_length_c 4.314
_cell_angle_alpha 90.00
_cell_angle_beta 90.00
_cell_angle_gamma 90.00
loop_
_atom_site_label
_atom_site_type_symbol
_atom_site_fract_x
_atom_site_fract_y
_atom_site_fract_z
Al1 Al 0.000 0.000 0.000
I1 I 0.500 0.500 0.000
N1 N 0.000 0.500 0.500
F1 F 0.500 0.500 0.500
# raw formation energy = 1.9062 eV/atom
# N(E_F) = 1.98 states/eV per cell

2.
# CaCe2Te4 PBEsol relaxed
data_CaCe2Te4
_symmetry_space_group_name_H-M 'I -4 2 d'
_symmetry_Int_Tables_number 122
_symmetry_space_group_name_Hall 'I -4 2bw'
_cell_length_a 9.335
_cell_length_b 9.335
_cell_length_c 9.456
_cell_angle_alpha 90.00
_cell_angle_beta 90.00
_cell_angle_gamma 90.00
loop_
_atom_site_label
_atom_site_type_symbol
_atom_site_fract_x
_atom_site_fract_y
_atom_site_fract_z
Ca1 Ca 0.000 0.000 0.000
Ce1 Ce 0.125 0.750 0.625
Te1 Te 0.077 0.676 0.950
# raw formation energy = -1.3964 eV/atom
# N(E_F) = 59.43 states/eV per cell

3.
# Ti2MnOs PBEsol relaxed
data_Ti2MnOs
_symmetry_space_group_name_H-M 'F m -3 m'
_symmetry_Int_Tables_number 225
_symmetry_space_group_name_Hall '-F 4 2 3'
_cell_length_a 6.019
_cell_length_b 6.019
_cell_length_c 6.019
_cell_angle_alpha 90.00
_cell_angle_beta 90.00
_cell_angle_gamma 90.00
loop_
_atom_site_label
_atom_site_type_symbol
_atom_site_fract_x
_atom_site_fract_y
_atom_site_fract_z
Ti1 Ti 0.250 0.250 0.250
Mn1 Mn 0.000 0.000 0.000
Os1 Os 0.000 0.000 0.500
# formation energy from the elements = -493 meV/atom
# N(E_F) = 11.53 states/eV per cell

4.
# TlCdRe2C PBEsol relaxed
data_TlCdRe2C
_symmetry_space_group_name_H-M 'P 4/m m m'
_symmetry_Int_Tables_number 123
_symmetry_space_group_name_Hall '-P 4 2'
_cell_length_a 5.039
_cell_length_b 5.039
_cell_length_c 3.788
_cell_angle_alpha 90.00
_cell_angle_beta 90.00
_cell_angle_gamma 90.00
loop_
_atom_site_label
_atom_site_type_symbol
_atom_site_fract_x
_atom_site_fract_y
_atom_site_fract_z
Tl1 Tl 0.000 0.000 0.000
Cd1 Cd 0.500 0.500 0.500
Re1 Re 0.000 0.500 0.500
C1 C 0.500 0.500 0.000
# formation energy from the elements = 3096 meV/atom
# N(E_F) = 4.09 states/eV per cell

5.
# Ta5Mo3 PBEsol relaxed
data_Ta5Mo3
_symmetry_space_group_name_H-M 'P -4 m 2'
_symmetry_Int_Tables_number 115
_symmetry_space_group_name_Hall 'P -4 -2'
_cell_length_a 4.545
_cell_length_b 4.545
_cell_length_c 6.424
_cell_angle_alpha 90.00
_cell_angle_beta 90.00
_cell_angle_gamma 90.00
loop_
_atom_site_label
_atom_site_type_symbol
_atom_site_fract_x
_atom_site_fract_y
_atom_site_fract_z
Ta1 Ta 0.000 0.000 0.000
Ta2 Ta 0.000 0.000 0.500
Ta3 Ta 0.000 0.500 0.245
Ta4 Ta 0.500 0.500 0.500
Mo1 Mo 0.000 0.500 0.752
Mo2 Mo 0.500 0.500 0.000
# formation energy from the elements = -82 meV/atom
# N(E_F) = 7.75 states/eV per cell

6.
# Cs2SrTc PBEsol relaxed
data_Cs2SrTc
_symmetry_space_group_name_H-M 'F m -3 m'
_symmetry_Int_Tables_number 225
_symmetry_space_group_name_Hall '-F 4 2 3'
_cell_length_a 8.690
_cell_length_b 8.690
_cell_length_c 8.690
_cell_angle_alpha 90.00
_cell_angle_beta 90.00
_cell_angle_gamma 90.00
loop_
_atom_site_label
_atom_site_type_symbol
_atom_site_fract_x
_atom_site_fract_y
_atom_site_fract_z
Cs1 Cs 0.250 0.250 0.250
Sr1 Sr 0.000 0.000 0.000
Tc1 Tc 0.000 0.000 0.500
# formation energy from the elements = 1437 meV/atom
# N(E_F) = 20.56 states/eV per cell

7.
# TaSbRh2 PBEsol relaxed
data_TaSbRh2
_symmetry_space_group_name_H-M 'R -3 m'
_symmetry_Int_Tables_number 166
_symmetry_space_group_name_Hall '-R 3 2"'
_cell_length_a 3.0796
_cell_length_b 3.0796
_cell_length_c 24.9330
_cell_angle_alpha 90.00
_cell_angle_beta 90.00
_cell_angle_gamma 120.00
loop_
_atom_site_label
_atom_site_type_symbol
_atom_site_fract_x
_atom_site_fract_y
_atom_site_fract_z
Ta1 Ta 0.0000 0.0000 0.0000
Sb1 Sb 0.0000 0.0000 0.5000
Rh1 Rh 0.0000 0.0000 0.2552
# raw formation energy = -0.1579 eV/atom
# N(E_F) = 8.02 states/eV per cell

8.
# Re5Ir PBEsol relaxed
data_Re5Ir
_symmetry_space_group_name_H-M 'A m m 2'
_symmetry_Int_Tables_number 38
_symmetry_space_group_name_Hall 'A 2 -2'
_cell_length_a 4.396
_cell_length_b 2.751
_cell_length_c 14.355
_cell_angle_alpha 90.00
_cell_angle_beta 90.00
_cell_angle_gamma 90.00
loop_
_atom_site_label
_atom_site_type_symbol
_atom_site_fract_x
_atom_site_fract_y
_atom_site_fract_z
Re1 Re 0.000 0.000 0.000
Re2 Re 0.000 0.000 0.332
Re3 Re 0.000 0.000 0.667
Re4 Re 0.500 0.000 0.222
Re5 Re 0.500 0.000 0.890
Ir1 Ir 0.500 0.000 0.554
# formation energy from the elements = -117 meV/atom
# N(E_F) = 9.02 states/eV per cell

9.
# K2Sb2Pt PBEsol relaxed
data_K2Sb2Pt
_symmetry_space_group_name_H-M 'P 4/m b m'
_symmetry_Int_Tables_number 127
_symmetry_space_group_name_Hall '-P 4 2ab'
_cell_length_a 6.947
_cell_length_b 6.947
_cell_length_c 5.773
_cell_angle_alpha 90.00
_cell_angle_beta 90.00
_cell_angle_gamma 90.00
loop_
_atom_site_label
_atom_site_type_symbol
_atom_site_fract_x
_atom_site_fract_y
_atom_site_fract_z
K1 K 0.171 0.329 0.000
Sb1 Sb 0.147 0.647 0.500
Pt1 Pt 0.000 0.000 0.500
# raw formation energy = -0.4120 eV/atom
# N(E_F) = 3.82 states/eV per cell

10.
# SrCd2Rh2 PBEsol relaxed
data_SrCd2Rh2
_symmetry_space_group_name_H-M 'I 4/m m m'
_symmetry_Int_Tables_number 139
_symmetry_space_group_name_Hall '-I 4 2'
_cell_length_a 4.374
_cell_length_b 4.374
_cell_length_c 11.143
_cell_angle_alpha 90.00
_cell_angle_beta 90.00
_cell_angle_gamma 90.00
loop_
_atom_site_label
_atom_site_type_symbol
_atom_site_fract_x
_atom_site_fract_y
_atom_site_fract_z
Sr1 Sr 0.000 0.000 0.000
Cd1 Cd 0.000 0.500 0.250
Rh1 Rh 0.000 0.000 0.392
# formation energy from the elements = -115 meV/atom
# N(E_F) = 6.39 states/eV per cell

11.
# NaTaS2 PBEsol relaxed
data_NaTaS2
_symmetry_space_group_name_H-M 'I -4 2 d'
_symmetry_Int_Tables_number 122
_symmetry_space_group_name_Hall 'I -4 2bw'
_cell_length_a 5.990
_cell_length_b 5.990
_cell_length_c 11.058
_cell_angle_alpha 90.00
_cell_angle_beta 90.00
_cell_angle_gamma 90.00
loop_
_atom_site_label
_atom_site_type_symbol
_atom_site_fract_x
_atom_site_fract_y
_atom_site_fract_z
Na1 Na 0.000 0.000 0.000
Ta1 Ta 0.000 0.000 0.500
S1 S 0.193 0.250 0.625
# raw formation energy = -0.6118 eV/atom
# N(E_F) = 10.69 states/eV per cell

12.
# TbGdIr2 PBEsol relaxed
data_TbGdIr2
_symmetry_space_group_name_H-M 'F m -3 m'
_symmetry_Int_Tables_number 225
_symmetry_space_group_name_Hall '-F 4 2 3'
_cell_length_a 6.799
_cell_length_b 6.799
_cell_length_c 6.799
_cell_angle_alpha 90.00
_cell_angle_beta 90.00
_cell_angle_gamma 90.00
loop_
_atom_site_label
_atom_site_type_symbol
_atom_site_fract_x
_atom_site_fract_y
_atom_site_fract_z
Tb1 Tb 0.000 0.000 0.000
Gd1 Gd 0.000 0.000 0.500
Ir1 Ir 0.250 0.250 0.250
# formation energy from the elements = -719 meV/atom
# N(E_F) = 8.07 states/eV per cell

13.
# K2CdAu2 PBEsol relaxed
data_K2CdAu2
_symmetry_space_group_name_H-M 'I 4/m m m'
_symmetry_Int_Tables_number 139
_symmetry_space_group_name_Hall '-I 4 2'
_cell_length_a 6.303
_cell_length_b 6.303
_cell_length_c 7.975
_cell_angle_alpha 90.00
_cell_angle_beta 90.00
_cell_angle_gamma 90.00
loop_
_atom_site_label
_atom_site_type_symbol
_atom_site_fract_x
_atom_site_fract_y
_atom_site_fract_z
K1 K 0.000 0.500 0.250
Cd1 Cd 0.000 0.000 0.000
Au1 Au 0.000 0.000 0.336
# formation energy from the elements = -68 meV/atom
# N(E_F) = 3.45 states/eV per cell

14.
# NaSn3B PBEsol relaxed
data_NaSn3B
_symmetry_space_group_name_H-M 'P m -3 m'
_symmetry_Int_Tables_number 221
_symmetry_space_group_name_Hall '-P 4 2 3'
_cell_length_a 4.919
_cell_length_b 4.919
_cell_length_c 4.919
_cell_angle_alpha 90.00
_cell_angle_beta 90.00
_cell_angle_gamma 90.00
loop_
_atom_site_label
_atom_site_type_symbol
_atom_site_fract_x
_atom_site_fract_y
_atom_site_fract_z
Na1 Na 0.000 0.000 0.000
Sn1 Sn 0.000 0.500 0.500
B1 B 0.500 0.500 0.500
# formation energy from the elements = 452 meV/atom
# N(E_F) = 2.14 states/eV per cell

15.
# FeCo2Mo PBEsol relaxed
data_FeCo2Mo
_symmetry_space_group_name_H-M 'I 4/m m m'
_symmetry_Int_Tables_number 139
_symmetry_space_group_name_Hall '-I 4 2'
_cell_length_a 3.575
_cell_length_b 3.575
_cell_length_c 7.071
_cell_angle_alpha 90.00
_cell_angle_beta 90.00
_cell_angle_gamma 90.00
loop_
_atom_site_label
_atom_site_type_symbol
_atom_site_fract_x
_atom_site_fract_y
_atom_site_fract_z
Fe1 Fe 0.000 0.000 0.000
Co1 Co 0.000 0.500 0.250
Mo1 Mo 0.000 0.000 0.500
# formation energy from the elements = -12 meV/atom
# N(E_F) = 8.22 states/eV per cell

16.
# NbCd3I PBEsol relaxed
data_NbCd3I
_symmetry_space_group_name_H-M 'P m -3 m'
_symmetry_Int_Tables_number 221
_symmetry_space_group_name_Hall '-P 4 2 3'
_cell_length_a 5.559
_cell_length_b 5.559
_cell_length_c 5.559
_cell_angle_alpha 90.00
_cell_angle_beta 90.00
_cell_angle_gamma 90.00
loop_
_atom_site_label
_atom_site_type_symbol
_atom_site_fract_x
_atom_site_fract_y
_atom_site_fract_z
Nb1 Nb 0.000 0.000 0.000
Cd1 Cd 0.000 0.500 0.500
I1 I 0.500 0.500 0.500
# raw formation energy = 1.6072 eV/atom
# N(E_F) = 5.26 states/eV per cell

17.
# Zr2TcOs PBEsol relaxed
data_Zr2TcOs
_symmetry_space_group_name_H-M 'P 1 m 1'
_symmetry_Int_Tables_number 6
_symmetry_space_group_name_Hall 'P -2y'
_cell_length_a 2.921
_cell_length_b 4.553
_cell_length_c 5.241
_cell_angle_alpha 90.00
_cell_angle_beta 102.08
_cell_angle_gamma 90.00
loop_
_atom_site_label
_atom_site_type_symbol
_atom_site_fract_x
_atom_site_fract_y
_atom_site_fract_z
Zr1 Zr 0.000 0.000 0.000
Zr2 Zr 0.274 0.500 0.724
Tc1 Tc 0.505 0.000 0.493
Os1 Os 0.755 0.500 0.231
# formation energy from the elements = -134 meV/atom
# N(E_F) = 2.83 states/eV per cell

18.
# CdTcOs2S PBEsol relaxed
data_CdTcOs2S
_symmetry_space_group_name_H-M 'P 4/m m m'
_symmetry_Int_Tables_number 123
_symmetry_space_group_name_Hall '-P 4 2'
_cell_length_a 4.580
_cell_length_b 4.580
_cell_length_c 5.083
_cell_angle_alpha 90.00
_cell_angle_beta 90.00
_cell_angle_gamma 90.00
loop_
_atom_site_label
_atom_site_type_symbol
_atom_site_fract_x
_atom_site_fract_y
_atom_site_fract_z
Cd1 Cd 0.000 0.000 0.000
Tc1 Tc 0.000 0.000 0.500
Os1 Os 0.000 0.500 0.500
S1 S 0.500 0.500 0.000
# raw formation energy = 2.0894 eV/atom
# N(E_F) = 6.07 states/eV per cell

19.
# Ba2Na2Hg PBEsol relaxed
data_Ba2Na2Hg
_symmetry_space_group_name_H-M 'I 4/m m m'
_symmetry_Int_Tables_number 139
_symmetry_space_group_name_Hall '-I 4 2'
_cell_length_a 4.301
_cell_length_b 4.301
_cell_length_c 21.537
_cell_angle_alpha 90.00
_cell_angle_beta 90.00
_cell_angle_gamma 90.00
loop_
_atom_site_label
_atom_site_type_symbol
_atom_site_fract_x
_atom_site_fract_y
_atom_site_fract_z
Ba1 Ba 0.000 0.000 0.088
Na1 Na 0.000 0.500 0.250
Hg1 Hg 0.000 0.000 0.500
# formation energy from the elements = -153 meV/atom
# N(E_F) = 7.05 states/eV per cell

20.
# ReRh2O6 PBEsol relaxed
data_ReRh2O6
_symmetry_space_group_name_H-M 'P 42/m n m'
_symmetry_Int_Tables_number 136
_symmetry_space_group_name_Hall '-P 4n 2n'
_cell_length_a 4.531
_cell_length_b 4.531
_cell_length_c 9.247
_cell_angle_alpha 90.00
_cell_angle_beta 90.00
_cell_angle_gamma 90.00
loop_
_atom_site_label
_atom_site_type_symbol
_atom_site_fract_x
_atom_site_fract_y
_atom_site_fract_z
Re1 Re 0.000 0.000 0.000
Rh1 Rh 0.000 0.000 0.333
O1 O 0.191 0.191 0.160
O2 O 0.199 0.199 0.500
# raw formation energy = -1.1367 eV/atom
# N(E_F) = 7.17 states/eV per cell

21.
# RbZr2Cu PBEsol relaxed
data_RbZr2Cu
_symmetry_space_group_name_H-M 'F m -3 m'
_symmetry_Int_Tables_number 225
_symmetry_space_group_name_Hall '-F 4 2 3'
_cell_length_a 6.880
_cell_length_b 6.880
_cell_length_c 6.880
_cell_angle_alpha 90.00
_cell_angle_beta 90.00
_cell_angle_gamma 90.00
loop_
_atom_site_label
_atom_site_type_symbol
_atom_site_fract_x
_atom_site_fract_y
_atom_site_fract_z
Rb1 Rb 0.000 0.000 0.000
Zr1 Zr 0.250 0.250 0.250
Cu1 Cu 0.000 0.000 0.500
# formation energy from the elements = 1045 meV/atom
# N(E_F) = 17.97 states/eV per cell

22.
# MgTi2O4 PBEsol relaxed
data_MgTi2O4
_symmetry_space_group_name_H-M 'C m c m'
_symmetry_Int_Tables_number 63
_symmetry_space_group_name_Hall '-C 2c 2'
_cell_length_a 2.867
_cell_length_b 9.534
_cell_length_c 9.913
_cell_angle_alpha 90.00
_cell_angle_beta 90.00
_cell_angle_gamma 90.00
loop_
_atom_site_label
_atom_site_type_symbol
_atom_site_fract_x
_atom_site_fract_y
_atom_site_fract_z
Mg1 Mg 0.000 0.118 0.250
Ti1 Ti 0.000 0.372 0.070
O1 O 0.000 0.000 0.000
O2 O 0.000 0.276 0.618
O3 O 0.000 0.463 0.250
# raw formation energy = -2.8674 eV/atom
# N(E_F) = 8.57 states/eV per cell

23.
# HgAsPb2 PBEsol relaxed
data_HgAsPb2
_symmetry_space_group_name_H-M 'R -3 m'
_symmetry_Int_Tables_number 166
_symmetry_space_group_name_Hall '-R 3 2"'
_cell_length_a 4.0942
_cell_length_b 4.0942
_cell_length_c 22.6987
_cell_angle_alpha 90.00
_cell_angle_beta 90.00
_cell_angle_gamma 120.00
loop_
_atom_site_label
_atom_site_type_symbol
_atom_site_fract_x
_atom_site_fract_y
_atom_site_fract_z
Hg1 Hg 0.0000 0.0000 0.0000
As1 As 0.0000 0.0000 0.5000
Pb1 Pb 0.0000 0.0000 0.2420
# formation energy from the elements = 18 meV/atom
# N(E_F) = 5.03 states/eV per cell

24.
# LaNi5H6 PBEsol relaxed
data_LaNi5H6
_symmetry_space_group_name_H-M 'P 6 m m'
_symmetry_Int_Tables_number 183
_symmetry_space_group_name_Hall 'P 6 -2'
_cell_length_a 5.3250
_cell_length_b 5.3250
_cell_length_c 4.0461
_cell_angle_alpha 90.00
_cell_angle_beta 90.00
_cell_angle_gamma 120.00
loop_
_atom_site_label
_atom_site_type_symbol
_atom_site_fract_x
_atom_site_fract_y
_atom_site_fract_z
La1 La 0.0000 0.0000 0.0000
Ni1 Ni 0.0000 0.5000 0.6335
Ni2 Ni 0.3333 0.6667 0.1220
H1 H 0.2027 0.4054 0.4160
# VASP energy = -58.5 eV/cell
# N(E_F) = 6.21 states/eV per cell

25.
# VOF2 PBEsol relaxed
data_VOF2
_symmetry_space_group_name_H-M 'P 31'
_symmetry_Int_Tables_number 144
_symmetry_space_group_name_Hall 'P 31'
_cell_length_a 5.1979
_cell_length_b 5.1979
_cell_length_c 12.9478
_cell_angle_alpha 90.00
_cell_angle_beta 90.00
_cell_angle_gamma 120.00
loop_
_atom_site_label
_atom_site_type_symbol
_atom_site_fract_x
_atom_site_fract_y
_atom_site_fract_z
V1 V 0.0048 0.6880 0.0000
V2 V 0.3946 0.3819 0.8331
O1 O 0.1059 0.4339 0.4153
O2 O 0.5356 0.2108 0.2500
F1 F 0.0132 0.2301 0.7506
F2 F 0.1092 0.0209 0.9150
F3 F 0.2321 0.5750 0.9132
F4 F 0.4447 0.1052 0.7520
# raw formation energy = -2.6999 eV/atom
# N(E_F) = 11.99 states/eV per cell